Entry from Alexandria via LeMat-Bulk: PuMg4Pb5 after structural relaxation (PBE-GGA).

- Size of the total moment: 5.9 Bohr magnetons per cell
- SG: P4/mmm, No. 123
- Energy relative to the elements: -0.059 eV/atom
- Raw total energy: -3.98 eV per atom

```
PuMg4Pb5
1.0
-2.837 2.163 -0.596
-2.095 -2.209 1.953
4.528 10.578 16.825
Pu Mg Pb
1 4 5
Cartesian
0.000 0.000 0.000
2.710 6.330 10.069
1.818 4.248 6.757
0.914 2.136 3.397
3.614 8.443 13.428
-1.099 3.170 5.757
-0.202 5.266 9.091
0.695 7.362 12.425
1.568 9.401 15.669
-1.972 1.130 2.513
```



Entry from Alexandria via LeMat-Bulk: ReRuPbI2 after structural relaxation (PBE-GGA).

- Size of the total moment: 1.6 Bohr magnetons per cell
- SG: P4/mmm, No. 123
- Formation energy without anion corrections: 8.2 eV/f.u.
- Raw total energy: -4.07 eV per atom

```
ReRuPbI2
1.0
-0.709 -1.692 -5.034
-2.575 -4.425 1.850
-4.667 2.622 -0.224
Pb Ru I Re
1 1 2 1
Cartesian
-1.288 -2.212 0.925
-3.975 -1.747 -1.704
-2.333 1.311 -0.112
-0.354 -0.846 -2.517
0.000 0.000 0.000
```



Entry from Alexandria via LeMat-Bulk: PuThHg2 after structural relaxation (PBE-GGA).

- Size of the total moment: 6.4 Bohr magnetons per cell
- SG: P4/mmm, No. 123
- Energy relative to the elements: -0.157 eV/atom
- Raw total energy: -5.75 eV per atom
- Distance to the lowest polymorph of the same formula: 0.0 meV per atom

```
PuThHg2
1.0
-2.724 -2.301 -2.849
3.863 -1.782 -2.253
0.024 -3.756 3.011
Hg Th Pu
2 1 1
Cartesian
1.931 -0.891 -1.127
0.012 -1.878 1.505
0.581 -3.919 -1.046
-1.362 -1.151 -1.425
```



Entry from Alexandria via LeMat-Bulk: Tb2CoPd after structural relaxation (PBE-GGA).

- Size of the total moment: 0.0 Bohr magnetons per cell
- SG: R-3m, No. 166
- Energy relative to the elements: 0.066 eV/atom
- Raw total energy: -5.32 eV per atom

```
Tb2CoPd
1.0
-1.784 1.060 2.856
0.079 -1.937 2.950
6.441 4.149 4.665
Pd Tb Co
1 2 1
Cartesian
0.000 0.000 0.000
4.298 2.791 3.830
0.438 0.481 6.641
2.368 1.636 5.236
```



Entry from Alexandria via LeMat-Bulk: La2Nd3Sm6In after structural relaxation (PBE-GGA).

- Size of the total moment: 0.0 Bohr magnetons per cell
- SG: C2/m, No. 12
- Energy relative to the elements: -0.063 eV/atom
- Raw total energy: -4.66 eV per atom

```
La2Nd3Sm6In
1.0
6.251 -0.003 -0.001
-3.127 5.413 -0.001
-1.049 -1.815 11.830
Sm In Nd La
6 1 3 2
Cartesian
2.026 -0.007 2.928
0.050 3.602 8.900
3.095 1.843 8.900
2.107 3.648 2.940
-1.019 1.751 2.928
-0.031 -0.054 8.888
0.000 0.000 0.000
4.149 0.001 5.914
-2.073 3.594 5.914
1.038 1.797 5.914
3.123 1.804 -0.001
0.002 3.606 -0.001
```



Entry from Alexandria via LeMat-Bulk: Cs4TiS5 after structural relaxation (PBE-GGA).

- Size of the total moment: 0.0 Bohr magnetons per cell
- SG: I4, No. 79
- Formation energy without anion corrections: -10.1 eV/f.u.
- Raw total energy: -4.20 eV per atom

```
Cs4TiS5
1.0
-2.585 0.030 6.662
3.741 -4.955 5.306
3.349 5.422 5.108
Ti S Cs
1 5 4
Cartesian
-0.232 0.003 0.598
3.029 -2.824 4.982
-1.045 0.012 2.692
5.114 -0.314 9.613
1.502 3.320 12.027
-0.584 0.810 7.396
1.543 -1.895 8.342
2.934 -0.469 12.708
2.915 2.392 8.855
1.524 0.966 4.489
```



Entry from Alexandria via LeMat-Bulk: Tm6Os2Ru after structural relaxation (PBE-GGA).

- Size of the total moment: 0.0 Bohr magnetons per cell
- SG: P2_1/c, No. 14
- Energy relative to the elements: -0.262 eV/atom
- Raw total energy: -6.77 eV per atom
- Distance to the lowest polymorph of the same formula: 19.4 meV per atom

```
Tm6Os2Ru
1.0
6.472 0.000 0.450
0.000 7.298 0.000
-0.168 0.000 9.164
Tm Ru Os
12 2 4
Cartesian
4.239 3.406 2.698
4.182 1.242 8.801
4.086 1.221 5.474
2.218 6.077 4.140
2.065 3.892 6.916
5.385 7.055 2.559
0.934 2.428 0.667
1.030 2.407 3.994
5.274 4.891 5.620
2.122 6.057 0.813
0.919 0.243 7.055
5.370 4.871 8.947
3.236 3.649 0.225
-0.084 0.000 4.582
3.356 6.282 7.339
2.949 1.016 2.275
6.101 2.633 7.082
0.203 4.665 2.532
```



Entry from Alexandria via LeMat-Bulk: K2InP after structural relaxation (PBE-GGA).

- Size of the total moment: 0.0 Bohr magnetons per cell
- SG: Cmmm, No. 65
- Energy relative to the elements: 0.063 eV/atom
- Raw total energy: -2.52 eV per atom
- Distance to the lowest polymorph of the same formula: 330.8 meV per atom

```
K2InP
1.0
4.745 1.166 0.000
-0.328 4.875 0.000
0.000 0.000 5.035
K P In
2 1 1
Cartesian
0.000 0.000 0.000
2.209 3.020 0.000
2.373 0.583 2.517
-0.164 2.438 2.517
```



Entry from Alexandria via LeMat-Bulk: SrZrPt2 after structural relaxation (PBE-GGA).

- Size of the total moment: 0.0 Bohr magnetons per cell
- SG: Imm2, No. 44
- Energy relative to the elements: -0.515 eV/atom
- Raw total energy: -6.09 eV per atom
- Distance to the lowest polymorph of the same formula: 396.3 meV per atom

```
SrZrPt2
1.0
-1.655 3.215 5.038
2.525 -0.839 5.602
0.675 1.432 -5.996
Zr Sr Pt
1 1 2
Cartesian
1.786 0.804 2.074
0.439 1.200 5.371
0.003 0.008 0.037
-0.248 2.985 2.482
```



Entry from Alexandria via LeMat-Bulk: AlZn3Au4 after structural relaxation (PBE-GGA).

- Size of the total moment: 0.0 Bohr magnetons per cell
- SG: C2/m, No. 12
- Energy relative to the elements: -0.234 eV/atom
- Raw total energy: -2.82 eV per atom
- Distance to the lowest polymorph of the same formula: 0.0 meV per atom

```
AlZn3Au4
1.0
4.328 0.000 -1.168
-0.314 4.315 -1.162
-0.378 -0.449 7.203
Au Zn Al
4 3 1
Cartesian
0.402 0.420 1.488
2.409 2.578 0.322
1.228 1.288 4.550
3.235 3.446 3.384
0.654 3.007 2.424
2.983 0.859 2.448
-0.157 2.158 -0.581
2.164 0.000 -0.584
```



Entry from Alexandria via LeMat-Bulk: AcErAlRh after structural relaxation (PBE-GGA).

- Size of the total moment: 0.0 Bohr magnetons per cell
- SG: F-43m, No. 216
- Energy relative to the elements: -0.363 eV/atom
- Raw total energy: -5.30 eV per atom

```
AcErAlRh
1.0
-4.903 -1.592 -0.693
-1.250 -2.826 -4.183
-1.199 -5.033 0.526
Rh Ac Al Er
1 1 1 1
Cartesian
0.000 0.000 0.000
-5.513 -7.089 -3.263
-3.676 -4.726 -2.175
-1.838 -2.363 -1.088
```



Entry from Alexandria via LeMat-Bulk: Ac2Mg2Rh15 after structural relaxation (PBE-GGA).

- Size of the total moment: 0.0 Bohr magnetons per cell
- SG: R-3m, No. 166
- Energy relative to the elements: -0.273 eV/atom
- Raw total energy: -6.68 eV per atom

```
Ac2Mg2Rh15
1.0
-3.742 5.802 0.374
-4.722 -2.292 4.499
2.924 2.560 5.718
Rh Ac Mg
15 2 2
Cartesian
-5.095 2.671 4.030
-4.032 3.406 1.595
-4.306 0.947 5.946
-1.234 5.122 4.646
-3.811 5.035 3.863
0.951 3.520 4.136
-4.432 0.103 3.278
0.661 1.124 5.357
-0.445 3.398 6.561
1.462 1.280 2.859
-1.871 2.901 0.187
-1.769 4.842 1.956
-1.729 1.034 6.729
-2.361 -1.146 2.250
-2.459 -0.856 4.860
-3.606 3.951 6.895
-1.934 2.118 3.697
-4.975 5.450 9.511
-0.565 0.619 1.081
```



Entry from Alexandria via LeMat-Bulk: LiPmErGa after structural relaxation (PBE-GGA).

- Size of the total moment: 0.0 Bohr magnetons per cell
- SG: F-43m, No. 216
- Energy relative to the elements: -0.303 eV/atom
- Raw total energy: -3.87 eV per atom

```
LiPmErGa
1.0
-2.414 2.013 4.069
-0.190 -2.609 4.426
2.712 1.619 4.057
Er Li Ga Pm
1 1 1 1
Cartesian
0.027 0.256 3.138
0.054 0.511 6.276
0.000 0.000 0.000
0.082 0.767 9.414
```



Entry from Alexandria via LeMat-Bulk: AlP4Au after structural relaxation (PBE-GGA).

- Size of the total moment: 0.0 Bohr magnetons per cell
- SG: F-43m, No. 216
- Energy relative to the elements: 0.599 eV/atom
- Raw total energy: -4.18 eV per atom

```
AlP4Au
1.0
-5.165 -0.254 0.137
-2.820 2.939 -3.190
-2.588 -2.179 -3.914
P Al Au
4 1 1
Cartesian
-6.577 0.059 -2.523
-5.258 -0.926 -4.595
-5.377 1.692 -4.225
-3.934 0.188 -2.593
-7.930 0.380 -5.226
0.000 0.000 0.000
```



Entry from Alexandria via LeMat-Bulk: Tb4MgPt after structural relaxation (PBE-GGA).

- Size of the total moment: 0.0 Bohr magnetons per cell
- SG: F-43m, No. 216
- Energy relative to the elements: -0.515 eV/atom
- Raw total energy: -4.87 eV per atom
- Distance to the lowest polymorph of the same formula: 0.0 meV per atom

```
Tb4MgPt
1.0
-9.327 -1.165 -2.790
-5.698 -6.552 4.555
-7.276 3.042 5.826
Pt Mg Tb
4 4 16
Cartesian
-9.537 -2.339 5.812
-10.419 -4.149 2.105
-11.098 -0.021 2.652
-13.550 -2.840 4.612
-6.121 0.180 3.157
-6.778 -1.167 0.395
-3.789 -0.794 1.290
-5.615 -2.894 2.749
-11.824 -0.672 5.350
-17.418 -3.951 8.193
-13.600 -5.737 2.512
-15.256 -1.465 6.464
-16.034 -3.061 3.193
-8.945 -1.875 3.044
-12.635 -2.336 1.940
-14.657 -5.106 5.981
-18.197 -5.548 4.922
-7.705 -5.001 4.275
-12.303 -3.079 7.957
-14.597 0.326 3.315
-11.199 -4.467 4.847
-18.796 -1.907 5.405
-8.702 1.062 5.079
-9.998 -1.596 -0.367
```



Entry from Alexandria via LeMat-Bulk: TaTiCo4 after structural relaxation (PBE-GGA).

- Size of the total moment: 1.7 Bohr magnetons per cell
- SG: F-43m, No. 216
- Energy relative to the elements: -0.261 eV/atom
- Raw total energy: -8.29 eV per atom

```
TaTiCo4
1.0
4.728 0.000 0.000
2.364 4.094 0.000
2.364 1.365 3.860
Co Ta Ti
4 1 1
Cartesian
4.728 1.369 2.411
5.906 3.410 2.411
3.550 3.410 2.411
4.728 2.730 0.487
0.000 0.000 0.000
2.364 1.365 0.965
```



Entry from Alexandria via LeMat-Bulk: KPdSe after structural relaxation (PBE-GGA).

- Size of the total moment: 0.0 Bohr magnetons per cell
- SG: C2/m, No. 12
- Formation energy without anion corrections: -2.1 eV/f.u.
- Raw total energy: -3.95 eV per atom

```
KPdSe
1.0
4.504 0.000 0.000
0.000 7.838 -0.153
-2.252 -3.062 5.163
Pd Se K
2 2 2
Cartesian
2.252 3.193 2.610
0.000 1.583 2.400
0.000 4.166 2.418
2.252 0.610 2.592
0.000 -1.077 4.655
2.252 5.854 0.355
```



Entry from Alexandria via LeMat-Bulk: BaPAu after structural relaxation (PBE-GGA).

- Size of the total moment: 0.0 Bohr magnetons per cell
- SG: Cc, No. 9
- Energy relative to the elements: -0.840 eV/atom
- Raw total energy: -4.38 eV per atom

```
BaPAu
1.0
-3.387 6.800 -3.427
-3.475 -2.642 1.171
-0.943 2.768 3.446
Ba P Au
2 2 2
Cartesian
-6.689 5.710 0.580
-3.891 2.278 1.141
-0.890 1.519 -0.398
-3.695 4.950 -0.951
-3.417 5.682 1.504
-1.881 -0.455 0.922
```



Entry from Alexandria via LeMat-Bulk: LiZnCo2Ge after structural relaxation (PBE-GGA).

- Size of the total moment: 0.0 Bohr magnetons per cell
- SG: P4/mmm, No. 123
- Energy relative to the elements: 0.784 eV/atom
- Raw total energy: -3.62 eV per atom

```
LiZnCo2Ge
1.0
-2.350 3.159 0.754
-2.581 -2.374 1.903
1.956 0.633 3.442
Zn Ge Co Li
1 1 2 1
Cartesian
-1.290 -1.187 0.952
-1.487 0.709 3.050
-1.175 1.580 0.377
0.978 0.316 1.721
0.000 0.000 0.000
```



Entry from Alexandria via LeMat-Bulk: KNaAl2I8 after structural relaxation (PBE-GGA).

- Size of the total moment: 0.0 Bohr magnetons per cell
- SG: P-3, No. 147
- Formation energy without anion corrections: -10.9 eV/f.u.
- Raw total energy: -2.77 eV per atom

```
KNaAl2I8
1.0
7.517 0.000 0.000
-3.759 6.510 0.000
0.000 0.000 11.083
Na I Al K
1 8 2 1
Cartesian
0.000 0.000 5.542
4.999 0.056 3.460
0.000 4.340 10.958
1.307 2.152 3.460
3.759 2.170 0.125
2.451 4.358 7.624
-1.210 2.208 7.624
-1.241 6.454 7.624
4.969 4.302 3.460
0.000 4.340 8.393
3.759 2.170 2.690
0.000 0.000 0.000
```